(1)
## Ag2SbO (PBE-GGA)

Data for a geometry-optimized Ag2SbO structure.

a b c (Å): 4.638 4.638 4.638
angles (deg): 60.00 60.00 60.00
Fractional positions:
Sb  0.500  0.500  0.500
O  0.000  0.000  0.000
Ag  0.250  0.250  0.250
Ag  0.750  0.750  0.750

Magnetization   0.000 μB/f.u.
Formation energy from raw total energies   0.37 eV/atom
SG   No. 225
Offset from the most stable computed form   35.5 kJ per mole of atoms

***

(2)
## Ag3SbO (PBE-GGA)

Data for a geometry-optimized Ag3SbO structure.

a b c (Å): 5.242 5.242 5.242
angles (deg): 90.00 90.00 90.00
Fractional positions:
Sb  0.000  0.000  0.000
O  0.500  0.500  0.500
Ag  0.000  0.500  0.000
Ag  0.000  0.000  0.500
Ag  0.500  0.000  0.000

Magnetization   0.000 μB/f.u.
Formation energy from raw total energies   0.94 eV/atom
SG   No. 221
Offset from the most stable computed form   77.8 kJ per mole of atoms

***

(3)
## AgSb2O6 (PBE-GGA)

Data for a geometry-optimized AgSb2O6 structure.

a b c (Å): 4.828 4.828 9.780
angles (deg): 90.00 90.00 90.00
Fractional positions:
Ag  0.500  0.500  0.000
Ag  0.000  0.000  0.500
Sb  0.500  0.500  0.331
Sb  0.500  0.500  0.669
Sb  0.000  0.000  0.169
Sb  0.000  0.000  0.831
O  0.706  0.706  0.183
O  0.706  0.706  0.817
O  0.680  0.680  0.500
O  0.820  0.180  0.000
O  0.794  0.206  0.317
O  0.794  0.206  0.683
O  0.206  0.794  0.317
O  0.206  0.794  0.683
O  0.180  0.820  0.000
O  0.320  0.320  0.500
O  0.294  0.294  0.183
O  0.294  0.294  0.817

Magnetization   0.002 μB/f.u.
Formation energy from raw total energies   -1.01 eV/atom
SG   No. 136
Offset from the most stable computed form   0.0 kJ per mole of atoms

***

Which of these has the lowest formation energy from raw total energies?
AgSb2O6